This record from Alexandria describes an optimized crystal structure of BeInRh. The functional is GGA-PBEsol.

Output
**Formation energy from the elements**: -0.93 eV/f.u.
**D(E_F)**: 0.65 states/eV per atom
**Space group**: No. 107
**Theoretical density**: 8932 kg/m3
**ΔE to the lowest computed polymorph**: 0 meV/atom
**Volume**: 14.05 A^3/atom

Cell: 5.0746 5.0746 5.0746 Å, 145.30 145.30 49.89°
Closest atoms and distances in Å follow each position.
Fractional coordinates of all 3 atoms:
Be  0.0000  0.0000  0.0000  4 Rh 2.31
In  0.7043  0.7043  0.0000  5 Be 2.72-2.85, 5 Rh 2.75-2.83, 4 In 3.03
Rh  0.4052  0.4052  0.0000  4 Be 2.31